(1)
First-principles (PBE) data for Tb9Nd2Sc after structural relaxation, as listed in Alexandria.

Results
- total DFT energy (no corrections) (eV per cell) = -57.2
- theoretical density (kg/m³) = 7664

a b c (Å): 5.0368 5.0368 15.0628
angles (deg): 90.00 90.00 90.00
Atoms (fractional coordinates):
1 Tb 0.0000 0.0000 0.0000
2 Tb 0.0000 0.0000 0.3298
3 Tb 0.0000 0.0000 0.6702
4 Tb 0.0000 0.5000 0.1603
5 Tb 0.0000 0.5000 0.5000
6 Tb 0.0000 0.5000 0.8397
7 Tb 0.5000 0.0000 0.1603
8 Tb 0.5000 0.0000 0.5000
9 Tb 0.5000 0.0000 0.8397
10 Nd 0.5000 0.5000 0.3308
11 Nd 0.5000 0.5000 0.6692
12 Sc 0.5000 0.5000 0.0000

(2)
First-principles (PBE) data for Tm3CdSb after structural relaxation, as listed in Alexandria.

Results
- energy relative to the elements, uncorrected (eV per formula unit) = -2.18
- total DFT energy (no corrections) (eV per cell) = -41.3
- theoretical density (kg/m³) = 9265

a b c (Å): 11.0997 11.0997 4.9560
angles (deg): 90.00 90.00 154.22
Atoms (fractional coordinates):
1 Tm 0.0547 0.9453 0.7500
2 Tm 0.2494 0.7506 0.7500
3 Tm 0.4426 0.5574 0.7500
4 Tm 0.5574 0.4426 0.2500
5 Tm 0.7506 0.2494 0.2500
6 Tm 0.9453 0.0547 0.2500
7 Cd 0.1529 0.8471 0.2500
8 Cd 0.8471 0.1529 0.7500
9 Sb 0.3452 0.6548 0.2500
10 Sb 0.6548 0.3452 0.7500

(3)
First-principles (PBE) data for Tm4ScCd5 after structural relaxation, as listed in Alexandria.

Results
- total DFT energy (no corrections) (eV per cell) = -31.8
- theoretical density (kg/m³) = 8655

a b c (Å): 3.6605 3.6605 18.3667
angles (deg): 90.00 90.00 90.00
Atoms (fractional coordinates):
1 Tm 0.0000 0.0000 0.1019
2 Tm 0.0000 0.0000 0.3052
3 Tm 0.0000 0.0000 0.6948
4 Tm 0.0000 0.0000 0.8981
5 Sc 0.0000 0.0000 0.5000
6 Cd 0.5000 0.5000 0.0000
7 Cd 0.5000 0.5000 0.2036
8 Cd 0.5000 0.5000 0.4086
9 Cd 0.5000 0.5000 0.5914
10 Cd 0.5000 0.5000 0.7964

(4)
First-principles (PBE) data for Pb2Se2O7 after structural relaxation, as listed in Alexandria.

Results
- energy relative to the elements, uncorrected (eV per formula unit) = -9.58
- total DFT energy (no corrections) (eV per cell) = -117.4
- theoretical density (kg/m³) = 5880

a b c (Å): 4.9084 12.6826 6.2503
angles (deg): 90.00 96.61 90.00
Atoms (fractional coordinates):
1 Pb 0.1047 0.1476 0.3620
2 Pb 0.1047 0.3524 0.8620
3 Pb 0.8953 0.6476 0.1380
4 Pb 0.8953 0.8524 0.6380
5 Se 0.3720 0.6169 0.6825
6 Se 0.3720 0.8831 0.1825
7 Se 0.6280 0.1169 0.8175
8 Se 0.6280 0.3831 0.3175
9 O 0.1290 0.6937 0.5353
10 O 0.1290 0.8063 0.0353
11 O 0.2179 0.5669 0.8942
12 O 0.2179 0.9331 0.3942
13 O 0.3884 0.2055 0.6964
14 O 0.3884 0.2945 0.1964
15 O 0.5000 0.0000 0.0000
16 O 0.5000 0.5000 0.5000
17 O 0.6116 0.7055 0.8036
18 O 0.6116 0.7945 0.3036
19 O 0.7821 0.0669 0.6058
20 O 0.7821 0.4331 0.1058
21 O 0.8710 0.1937 0.9647
22 O 0.8710 0.3063 0.4647

(5)
First-principles (PBE) data for AcSmBiSe after structural relaxation, as listed in Alexandria.

Results
- energy relative to the elements, uncorrected (eV per formula unit) = -4.81
- total DFT energy (no corrections) (eV per cell) = -42.0
- theoretical density (kg/m³) = 7685

a b c (Å): 12.0097 12.0097 12.0097
angles (deg): 25.73 25.73 25.73
Atoms (fractional coordinates):
1 Ac 0.1171 0.1171 0.1171
2 Ac 0.8829 0.8829 0.8829
3 Sm 0.2958 0.2958 0.2958
4 Sm 0.7042 0.7042 0.7042
5 Bi 0.3897 0.3897 0.3897
6 Bi 0.6103 0.6103 0.6103
7 Se 0.2054 0.2054 0.2054
8 Se 0.7946 0.7946 0.7946

(6)
First-principles (PBE) data for Tb2PrPaAs4 after structural relaxation, as listed in Alexandria.

Results
- total DFT energy (no corrections) (eV per cell) = -53.4
- theoretical density (kg/m³) = 8050

a b c (Å): 7.1827 4.1697 7.2284
angles (deg): 90.00 109.46 90.00
Atoms (fractional coordinates):
1 Tb 0.0000 0.0000 0.0000
2 Tb 0.0000 0.5000 0.5000
3 Pr 0.5000 0.0000 0.5000
4 Pa 0.5000 0.5000 0.0000
5 As 0.2467 0.5000 0.2390
6 As 0.2504 0.0000 0.7577
7 As 0.7496 0.0000 0.2423
8 As 0.7533 0.5000 0.7610

(7)
First-principles (PBE) data for Sr2Li after structural relaxation, as listed in Alexandria.

Results
- ΔE to the lowest computed polymorph (eV per formula unit) = 0.06
- total DFT energy (no corrections) (eV per cell) = -15.5
- theoretical density (kg/m³) = 2265

a b c (Å): 9.8096 9.8096 4.8072
angles (deg): 90.00 90.00 120.00
Atoms (fractional coordinates):
1 Sr 0.0000 0.2523 0.0000
2 Sr 0.0000 0.5935 0.5000
3 Sr 0.2523 0.0000 0.0000
4 Sr 0.4065 0.4065 0.5000
5 Sr 0.5935 0.0000 0.5000
6 Sr 0.7477 0.7477 0.0000
7 Li 0.0000 0.0000 0.5000
8 Li 0.3333 0.6667 0.0000
9 Li 0.6667 0.3333 0.0000

(8)
First-principles (PBE) data for KCeNpO6 after structural relaxation, as listed in Alexandria.

Results
- energy relative to the elements, uncorrected (eV per formula unit) = -24.49
- total DFT energy (no corrections) (eV per cell) = -148.4
- theoretical density (kg/m³) = 5002

a b c (Å): 5.9820 5.9820 10.9734
angles (deg): 90.00 90.00 120.00
Atoms (fractional coordinates):
1 K 0.0000 0.0000 0.0000
2 K 0.0000 0.0000 0.5000
3 Ce 0.3333 0.6667 0.2500
4 Ce 0.6667 0.3333 0.7500
5 Np 0.3333 0.6667 0.7500
6 Np 0.6667 0.3333 0.2500
7 O 0.0285 0.3985 0.6530
8 O 0.0285 0.6300 0.8470
9 O 0.3700 0.3985 0.8470
10 O 0.3700 0.9715 0.6530
11 O 0.3985 0.0285 0.1530
12 O 0.3985 0.3700 0.3470
13 O 0.6015 0.6300 0.6530
14 O 0.6015 0.9715 0.8470
15 O 0.6300 0.0285 0.3470
16 O 0.6300 0.6015 0.1530
17 O 0.9715 0.3700 0.1530
18 O 0.9715 0.6015 0.3470

(9)
First-principles (PBE) data for RbSnHCl2 after structural relaxation, as listed in Alexandria.

Results
- total DFT energy (no corrections) (eV per cell) = -16.5
- theoretical density (kg/m³) = 3287

a b c (Å): 5.6786 5.6786 4.3249
angles (deg): 90.00 90.00 90.00
Atoms (fractional coordinates):
1 Rb 0.0000 0.0000 0.0000
2 Sn 0.5000 0.5000 0.5000
3 H 0.5000 0.5000 0.0000
4 Cl 0.0000 0.5000 0.5000
5 Cl 0.5000 0.0000 0.5000

(10)
First-principles (PBE) data for SrMnTe after structural relaxation, as listed in Alexandria.

Results
- ΔE to the lowest computed polymorph (eV per formula unit) = 0.00
- energy relative to the elements, uncorrected (eV per formula unit) = -1.24
- total DFT energy (no corrections) (eV per cell) = -15.2
- theoretical density (kg/m³) = 5356

a b c (Å): 4.6029 4.6029 4.5646
angles (deg): 90.00 90.00 120.00
Atoms (fractional coordinates):
1 Sr 0.0000 0.0000 0.0000
2 Mn 0.3333 0.6667 0.5000
3 Te 0.6667 0.3333 0.5000

(11)
First-principles (PBE) data for BaTiHN2 after structural relaxation, as listed in Alexandria.

Results
- total DFT energy (no corrections) (eV per cell) = -33.2
- theoretical density (kg/m³) = 5150

a b c (Å): 4.0458 4.0458 4.2196
angles (deg): 90.00 90.00 90.00
Atoms (fractional coordinates):
1 Ba 0.0000 0.0000 0.0000
2 Ti 0.5000 0.5000 0.5000
3 H 0.5000 0.5000 0.0000
4 N 0.0000 0.5000 0.5000
5 N 0.5000 0.0000 0.5000

(12)
First-principles (PBE) data for CeNdGe2 after structural relaxation, as listed in Alexandria.

Results
- total DFT energy (no corrections) (eV per cell) = -22.4
- theoretical density (kg/m³) = 7459

a b c (Å): 3.4015 3.4015 8.2669
angles (deg): 90.00 90.00 90.00
Atoms (fractional coordinates):
1 Ce 0.0000 0.0000 0.0000
2 Nd 0.0000 0.0000 0.5000
3 Ge 0.5000 0.5000 0.2469
4 Ge 0.5000 0.5000 0.7531